! CaCoI PBE relaxed; values from VASP
! Uncorrected formation energy   -0.59 eV per atom
! V   28.97 Å³ per atom
! Final energy   -4.14 eV/atom
! Magnetization   0.34 μB per atom
! DOS(E_F)   0.254 states/eV/atom
&SYSTEM
  ibrav = 0, nat = 6, ntyp = 3
/
ATOMIC_SPECIES
I 126.90 I.upf
Ca 40.08 Ca.upf
Co 58.93 Co.upf
CELL_PARAMETERS angstrom
-0.656 -8.884 -8.956
-0.439 -2.333 3.243
-3.679 -0.997 1.274
ATOMIC_POSITIONS angstrom
I -1.507 -8.439 -5.771
Ca -2.843 -11.185 -5.436
Co -3.080 -2.824 0.529
Ca -1.666 -3.456 -2.226
I -3.002 -6.202 -1.891
Co -0.774 -2.932 0.764

! AcMgAg2 PBE relaxed; values from VASP
! V   24.70 Å³ per atom
! Final energy   -3.04 eV/atom
! Magnetization   0.00 μB per atom
! E_form   -18 kJ/mol of atoms
! DOS(E_F)   0.535 states/eV/atom
&SYSTEM
  ibrav = 0, nat = 4, ntyp = 3
/
ATOMIC_SPECIES
Ac 227.00 Ac.upf
Ag 107.87 Ag.upf
Mg 24.30 Mg.upf
CELL_PARAMETERS angstrom
-3.078 1.851 0.484
-1.302 -2.699 2.037
2.910 3.231 6.140
ATOMIC_POSITIONS angstrom
Ac -0.735 1.191 4.331
Ag 0.577 0.641 1.218
Ag 2.332 2.590 4.922
Mg -2.190 -0.424 1.261

! BaSiAsPt6 PBE relaxed; values from VASP
! Uncorrected formation energy   -0.36 eV per atom
! V   22.18 Å³ per atom
! Final energy   -5.72 eV/atom
! Magnetization   0.00 μB per atom
! DOS(E_F)   0.329 states/eV/atom
&SYSTEM
  ibrav = 0, nat = 18, ntyp = 4
/
ATOMIC_SPECIES
Pt 195.08 Pt.upf
As 74.92 As.upf
Si 28.09 Si.upf
Ba 137.33 Ba.upf
CELL_PARAMETERS angstrom
8.294 0.000 0.000
0.000 7.138 0.000
-4.147 -3.569 6.744
ATOMIC_POSITIONS angstrom
Pt 2.324 3.924 1.394
Pt 4.147 -1.784 4.796
Pt 5.970 -0.355 1.394
Pt 0.000 5.353 1.948
Pt -1.823 3.924 5.350
As -2.074 -1.784 3.372
Pt 1.823 -0.355 5.350
As 2.074 -1.784 3.372
Pt 4.147 1.784 1.530
Pt -1.823 -0.355 5.350
Si 4.147 3.569 0.000
Si 4.147 0.000 0.000
Pt 0.000 1.784 5.214
Pt 2.324 -0.355 1.394
Ba 4.147 1.784 5.074
Pt 5.970 3.924 1.394
Ba 0.000 1.784 1.670
Pt 1.823 3.924 5.350

! SbTeIr2 PBE relaxed; values from VASP
! Uncorrected formation energy   0.40 eV per atom
! V   19.32 Å³ per atom
! Final energy   -5.85 eV/atom
! Distance to the lowest polymorph of the same formula   324 meV per atom
! Magnetization   0.00 μB per atom
! DOS(E_F)   0.647 states/eV/atom
&SYSTEM
  ibrav = 0, nat = 4, ntyp = 3
/
ATOMIC_SPECIES
Ir 192.22 Ir.upf
Te 127.60 Te.upf
Sb 121.76 Sb.upf
CELL_PARAMETERS angstrom
-1.229 -4.064 4.134
-0.087 -5.782 -1.296
2.898 5.153 0.416
ATOMIC_POSITIONS angstrom
Ir -1.303 -9.745 2.809
Te 1.111 -2.517 0.195
Sb -0.692 -5.172 1.491
Ir 0.490 -2.027 3.017

! TcSnIr PBE relaxed; values from VASP
! V   18.31 Å³ per atom
! Final energy   -7.67 eV/atom
! Distance to the lowest polymorph of the same formula   64 meV per atom
! Magnetization   0.00 μB per atom
! E_form   7 kJ/mol of atoms
! DOS(E_F)   0.957 states/eV/atom
&SYSTEM
  ibrav = 0, nat = 6, ntyp = 3
/
ATOMIC_SPECIES
Tc 98.00 Tc.upf
Ir 192.22 Ir.upf
Sn 118.71 Sn.upf
CELL_PARAMETERS angstrom
2.827 0.000 0.000
0.000 3.890 0.000
0.000 0.000 9.989
ATOMIC_POSITIONS angstrom
Tc 1.414 0.000 1.021
Ir 0.000 1.945 9.612
Sn 1.414 0.000 7.993
Sn 0.000 1.945 5.204
Ir 0.000 1.945 2.290
Tc 1.414 0.000 3.593

! CsY5Te8 PBE relaxed; values from VASP
! Uncorrected formation energy   -1.43 eV per atom
! V   37.69 Å³ per atom
! Final energy   -5.60 eV/atom
! Magnetization   0.00 μB per atom
&SYSTEM
  ibrav = 0, nat = 14, ntyp = 3
/
ATOMIC_SPECIES
Y 88.91 Y.upf
Te 127.60 Te.upf
Cs 132.91 Cs.upf
CELL_PARAMETERS angstrom
-2.167 3.822 0.401
-4.125 -1.292 -9.989
-6.494 -6.918 6.570
ATOMIC_POSITIONS angstrom
Y -7.179 -3.804 -2.548
Y -5.342 -3.486 4.355
Te -8.595 -1.841 -4.648
Y -8.662 -3.096 6.969
Te -9.885 -5.330 -2.630
Te -4.553 -2.294 -2.740
Te -4.190 -2.547 1.628
Cs -3.146 1.264 -4.788
Te -8.172 -2.503 3.965
Y -5.608 -0.585 -0.471
Te -2.902 0.942 -0.391
Y -7.443 -0.902 -7.375
Te -8.234 -2.094 -0.278
Te -4.613 -1.884 -6.986

! ZnGaFe2I PBE relaxed; values from VASP
! Uncorrected formation energy   1.12 eV per atom
! V   23.23 Å³ per atom
! Final energy   -3.44 eV/atom
! Magnetization   1.20 μB per atom
! DOS(E_F)   1.445 states/eV/atom
&SYSTEM
  ibrav = 0, nat = 5, ntyp = 4
/
ATOMIC_SPECIES
Zn 65.41 Zn.upf
I 126.90 I.upf
Ga 69.72 Ga.upf
Fe 55.84 Fe.upf
CELL_PARAMETERS angstrom
-3.809 2.357 -1.106
0.368 -1.815 -5.134
-2.585 -3.657 1.108
ATOMIC_POSITIONS angstrom
Zn 0.000 0.000 0.000
I 0.184 -0.907 -2.567
Ga -3.013 -1.558 -2.566
Fe -1.904 1.178 -0.553
Fe -1.292 -1.829 0.554

! NbVMo PBE relaxed; values from VASP
! V   15.90 Å³ per atom
! Final energy   -10.05 eV/atom
! Distance to the lowest polymorph of the same formula   28 meV per atom
! Magnetization   0.00 μB per atom
! E_form   -4 kJ/mol of atoms
! DOS(E_F)   1.405 states/eV/atom
&SYSTEM
  ibrav = 0, nat = 3, ntyp = 3
/
ATOMIC_SPECIES
Nb 92.91 Nb.upf
V 50.94 V.upf
Mo 95.94 Mo.upf
CELL_PARAMETERS angstrom
-1.552 1.884 1.392
-3.560 -2.590 -0.463
2.622 -0.454 3.538
ATOMIC_POSITIONS angstrom
Nb -0.489 0.109 3.146
V -1.997 -1.274 1.316
Mo -0.005 0.006 0.004

! PuPaSN2 PBE relaxed; values from VASP
! Uncorrected formation energy   -1.59 eV per atom
! V   17.33 Å³ per atom
! Final energy   -10.51 eV/atom
! Magnetization   1.00 μB per atom
! DOS(E_F)   1.776 states/eV/atom
&SYSTEM
  ibrav = 0, nat = 5, ntyp = 4
/
ATOMIC_SPECIES
Pu 244.00 Pu.upf
S 32.06 S.upf
Pa 231.04 Pa.upf
N 14.01 N.upf
CELL_PARAMETERS angstrom
-0.858 3.681 0.534
-2.770 -0.266 -2.612
-2.054 -3.226 5.296
ATOMIC_POSITIONS angstrom
Pu -4.549 0.633 1.972
S -1.832 1.700 -1.019
Pa -1.191 -0.468 1.311
N -3.281 -0.878 0.781
N -2.325 1.096 2.354

! CeGe4Pt2 PBE relaxed; values from VASP
! V   18.92 Å³ per atom
! Final energy   -5.84 eV/atom
! Distance to the lowest polymorph of the same formula   0 meV per atom
! Magnetization   0.11 μB per atom
! E_form   -60 kJ/mol of atoms
! DOS(E_F)   0.959 states/eV/atom
&SYSTEM
  ibrav = 0, nat = 28, ntyp = 3
/
ATOMIC_SPECIES
Ge 72.64 Ge.upf
Pt 195.08 Pt.upf
Ce 140.12 Ce.upf
CELL_PARAMETERS angstrom
4.269 0.000 0.000
0.000 6.859 0.000
0.000 0.000 18.093
ATOMIC_POSITIONS angstrom
Ge 3.202 5.228 14.571
Ge 1.067 1.799 12.568
Pt 3.202 1.689 8.661
Ge 3.202 4.332 17.357
Ce 1.067 0.173 6.483
Ge 1.067 0.281 16.953
Ce 3.202 6.687 11.609
Ge 3.202 2.177 5.813
Ge 3.202 5.957 8.311
Ce 1.067 3.257 15.530
Ge 1.067 3.148 7.906
Ge 3.202 5.061 5.525
Ge 1.067 1.631 3.522
Ce 3.202 3.602 2.563
Pt 3.202 3.246 12.760
Ge 1.067 2.527 0.735
Pt 1.067 5.171 9.432
Pt 1.067 3.614 5.333
Ge 1.067 0.903 9.782
Ge 1.067 5.607 3.234
Ge 3.202 6.578 1.140
Pt 3.202 0.184 3.714
Ge 3.202 1.252 14.859
Pt 3.202 1.741 17.707
Ge 1.067 4.682 12.280
Pt 1.067 5.118 0.386
Ge 3.202 3.711 10.187
Pt 1.067 6.676 14.379

! ZrI2N2 PBE relaxed; values from VASP
! Uncorrected formation energy   1.58 eV per atom
! V   18.14 Å³ per atom
! Final energy   -4.08 eV/atom
! Distance to the lowest polymorph of the same formula   981 meV per atom
! Magnetization   0.00 μB per atom
! DOS(E_F)   0.819 states/eV/atom
&SYSTEM
  ibrav = 0, nat = 5, ntyp = 3
/
ATOMIC_SPECIES
Zr 91.22 Zr.upf
I 126.90 I.upf
N 14.01 N.upf
CELL_PARAMETERS angstrom
-0.617 0.007 4.650
-4.468 -1.301 -0.590
1.133 -3.959 0.156
ATOMIC_POSITIONS angstrom
Zr -1.976 -2.627 2.108
I -2.234 -0.651 -0.295
I -0.308 0.003 2.325
N 0.000 0.000 0.000
N 0.566 -1.979 0.078

! Si3TeO PBE relaxed; values from VASP
! Uncorrected formation energy   1.86 eV per atom
! V   30.16 Å³ per atom
! Final energy   -3.02 eV/atom
! Distance to the lowest polymorph of the same formula   1509 meV per atom
! Magnetization   0.00 μB per atom
! DOS(E_F)   1.058 states/eV/atom
&SYSTEM
  ibrav = 0, nat = 5, ntyp = 3
/
ATOMIC_SPECIES
O 16.00 O.upf
Si 28.09 Si.upf
Te 127.60 Te.upf
CELL_PARAMETERS angstrom
-0.318 -4.829 -2.216
0.527 -2.238 4.800
-5.287 0.068 0.612
ATOMIC_POSITIONS angstrom
O -2.539 -3.499 1.598
Si 0.264 -1.119 2.400
Te 0.000 0.000 0.000
Si -2.643 0.034 0.306
Si -0.159 -2.414 -1.108